(i)
! Mg2CoPb2 (PBE, optimized geometry); values from VASP
&SYSTEM
  ibrav = 0, nat = 10, ntyp = 3
/
ATOMIC_SPECIES
Pb 207.20 Pb.upf
Mg 24.30 Mg.upf
Co 58.93 Co.upf
ATOMIC_POSITIONS crystal
Pb 0.342 0.842 0.000
Pb 0.842 0.658 0.000
Pb 0.658 0.158 0.000
Pb 0.158 0.342 0.000
Mg 0.160 0.660 0.500
Mg 0.660 0.840 0.500
Mg 0.840 0.340 0.500
Mg 0.340 0.160 0.500
Co 0.000 0.000 0.000
Co 0.500 0.500 0.000
CELL_PARAMETERS angstrom
7.049 0.000 0.000
0.000 7.049 0.000
0.000 0.000 4.617
! - V (Å³ per atom) = 22.94
! - mass density (g/cm³) = 7.557
! - SG = P4/mbm (127)



(ii)
! Mg2CoPb2 (PBE, optimized geometry); values from VASP
&SYSTEM
  ibrav = 0, nat = 10, ntyp = 3
/
ATOMIC_SPECIES
Pb 207.20 Pb.upf
Mg 24.30 Mg.upf
Co 58.93 Co.upf
ATOMIC_POSITIONS crystal
Pb 0.169 0.669 0.500
Pb 0.669 0.831 0.500
Pb 0.831 0.331 0.500
Pb 0.331 0.169 0.500
Mg 0.346 0.846 0.000
Mg 0.846 0.654 0.000
Mg 0.654 0.154 0.000
Mg 0.154 0.346 0.000
Co 0.000 0.000 0.000
Co 0.500 0.500 0.000
CELL_PARAMETERS angstrom
7.004 0.000 0.000
0.000 7.004 0.000
0.000 0.000 4.709
! - V (Å³ per atom) = 23.10
! - mass density (g/cm³) = 7.505
! - SG = P4/mbm (127)



The calculated energies rank the structures as follows, beginning with the most stable: (i), (ii).



(i)
! Pm3Mg3Co2 (PBE, optimized geometry); values from VASP
&SYSTEM
  ibrav = 0, nat = 8, ntyp = 3
/
ATOMIC_SPECIES
Pm 145.00 Pm.upf
Mg 24.30 Mg.upf
Co 58.93 Co.upf
ATOMIC_POSITIONS crystal
Pm 0.362 0.929 0.275
Pm 0.500 0.500 0.000
Pm 0.638 0.071 0.725
Mg 0.806 0.409 0.388
Mg 0.194 0.591 0.612
Mg 0.000 0.000 0.000
Co 0.763 0.898 0.473
Co 0.237 0.102 0.527
CELL_PARAMETERS angstrom
-3.440 -1.290 0.685
1.503 -1.353 4.987
-4.065 8.111 5.063
! - V (Å³ per atom) = 25.41
! - mass density (g/cm³) = 5.111
! - SG = C2/m (12)



(ii)
! Pm3Mg3Co2 (PBE, optimized geometry); values from VASP
&SYSTEM
  ibrav = 0, nat = 8, ntyp = 3
/
ATOMIC_SPECIES
Pm 145.00 Pm.upf
Mg 24.30 Mg.upf
Co 58.93 Co.upf
ATOMIC_POSITIONS crystal
Pm 0.167 0.583 0.335
Pm 0.833 0.417 0.665
Pm 0.000 0.000 0.000
Mg 0.639 0.076 0.278
Mg 0.500 0.500 0.000
Mg 0.361 0.924 0.722
Co 0.236 0.094 0.471
Co 0.764 0.906 0.529
CELL_PARAMETERS angstrom
3.876 0.000 -1.124
-0.263 5.232 -0.906
0.610 0.239 9.344
! - V (Å³ per atom) = 24.24
! - mass density (g/cm³) = 5.358
! - SG = C2/m (12)



The calculated energies rank the structures as follows, beginning with the most stable: (ii), (i).



(i)
! PmMgCo (PBE, optimized geometry); values from VASP
&SYSTEM
  ibrav = 0, nat = 3, ntyp = 3
/
ATOMIC_SPECIES
Mg 24.30 Mg.upf
Co 58.93 Co.upf
Pm 145.00 Pm.upf
ATOMIC_POSITIONS crystal
Mg 0.500 0.500 0.500
Co 0.250 0.250 0.250
Pm 0.000 0.000 0.000
CELL_PARAMETERS angstrom
4.600 0.000 0.000
2.300 3.984 0.000
2.300 1.328 3.756
! - V (Å³ per atom) = 22.94
! - mass density (g/cm³) = 5.507
! - SG = F-43m (216)



(ii)
! PmMgCo (PBE, optimized geometry); values from VASP
&SYSTEM
  ibrav = 0, nat = 6, ntyp = 3
/
ATOMIC_SPECIES
Pm 145.00 Pm.upf
Co 58.93 Co.upf
Mg 24.30 Mg.upf
ATOMIC_POSITIONS crystal
Pm 0.250 0.091 0.819
Pm 0.750 0.909 0.181
Co 0.250 0.465 0.070
Co 0.750 0.535 0.930
Mg 0.750 0.703 0.594
Mg 0.250 0.297 0.406
CELL_PARAMETERS angstrom
3.890 0.000 0.000
0.000 4.017 0.000
0.000 2.009 8.643
! - V (Å³ per atom) = 22.51
! - mass density (g/cm³) = 5.612
! - SG = Cmcm (63)



The calculated energies rank the structures as follows, beginning with the most stable: (ii), (i).



(i)
! PmMgCo (PBE, optimized geometry); values from VASP
&SYSTEM
  ibrav = 0, nat = 3, ntyp = 3
/
ATOMIC_SPECIES
Mg 24.30 Mg.upf
Co 58.93 Co.upf
Pm 145.00 Pm.upf
ATOMIC_POSITIONS crystal
Mg 0.037 0.037 0.073
Co 0.661 0.661 0.322
Pm 0.302 0.302 0.605
CELL_PARAMETERS angstrom
3.304 0.000 0.000
0.000 3.304 0.000
-1.652 -1.652 5.848
! - V (Å³ per atom) = 21.28
! - mass density (g/cm³) = 5.937
! - SG = I4mm (107)



(ii)
! PmMgCo (PBE, optimized geometry); values from VASP
&SYSTEM
  ibrav = 0, nat = 6, ntyp = 3
/
ATOMIC_SPECIES
Pm 145.00 Pm.upf
Mg 24.30 Mg.upf
Co 58.93 Co.upf
ATOMIC_POSITIONS crystal
Pm 0.231 0.648 0.766
Pm 0.388 0.010 0.093
Mg 0.000 0.530 0.348
Mg 0.619 0.129 0.511
Co 0.933 0.229 0.780
Co 0.686 0.430 0.078
CELL_PARAMETERS angstrom
4.159 0.001 0.007
2.078 5.195 0.378
2.082 0.601 6.025
! - V (Å³ per atom) = 21.52
! - mass density (g/cm³) = 5.870
! - SG = P-1 (2)



The calculated energies rank the structures as follows, beginning with the most stable: (ii), (i).



(i)
! Pr6MgCo2 (PBE, optimized geometry); values from VASP
&SYSTEM
  ibrav = 0, nat = 9, ntyp = 3
/
ATOMIC_SPECIES
Pr 140.91 Pr.upf
Mg 24.30 Mg.upf
Co 58.93 Co.upf
ATOMIC_POSITIONS crystal
Pr 0.104 0.207 0.867
Pr 0.615 0.231 0.176
Pr 0.385 0.769 0.824
Pr 0.707 0.414 0.616
Pr 0.293 0.586 0.384
Pr 0.896 0.793 0.133
Mg 0.000 0.000 0.500
Co 0.746 0.492 0.901
Co 0.254 0.508 0.099
CELL_PARAMETERS angstrom
-3.538 0.135 2.932
3.955 -5.025 1.399
4.720 5.974 5.420
! - V (Å³ per atom) = 29.20
! - mass density (g/cm³) = 6.241
! - SG = C2/m (12)



(ii)
! Pr6MgCo2 (PBE, optimized geometry); values from VASP
&SYSTEM
  ibrav = 0, nat = 18, ntyp = 3
/
ATOMIC_SPECIES
Pr 140.91 Pr.upf
Mg 24.30 Mg.upf
Co 58.93 Co.upf
ATOMIC_POSITIONS crystal
Pr 0.532 0.715 0.818
Pr 0.468 0.285 0.182
Pr 0.103 0.285 0.818
Pr 0.897 0.715 0.182
Pr 0.796 0.766 0.562
Pr 0.204 0.234 0.438
Pr 0.204 0.766 0.970
Pr 0.796 0.234 0.030
Pr 0.685 0.364 0.680
Pr 0.315 0.636 0.320
Pr 0.315 0.995 0.680
Pr 0.685 0.005 0.320
Mg 0.000 0.500 0.500
Mg 0.000 0.000 0.000
Co 0.500 0.389 0.889
Co 0.500 0.611 0.111
Co 0.675 0.000 0.675
Co 0.325 0.000 0.325
CELL_PARAMETERS angstrom
8.253 0.012 -2.879
-4.416 7.101 -2.545
0.033 -0.012 8.741
! - V (Å³ per atom) = 28.50
! - mass density (g/cm³) = 6.394
! - SG = Immm (71)



The calculated energies rank the structures as follows, beginning with the most stable: (ii), (i).



(i)
! Pr3MgCo (PBE, optimized geometry); values from VASP
&SYSTEM
  ibrav = 0, nat = 10, ntyp = 3
/
ATOMIC_SPECIES
Pr 140.91 Pr.upf
Mg 24.30 Mg.upf
Co 58.93 Co.upf
ATOMIC_POSITIONS crystal
Pr 0.444 0.939 0.511
Pr 0.984 0.668 0.969
Pr 0.531 0.189 0.039
Pr 0.984 0.257 0.968
Pr 0.441 0.529 0.510
Pr 0.895 0.009 0.440
Mg 0.990 0.459 0.476
Mg 0.437 0.736 0.003
Co 0.087 0.911 0.806
Co 0.339 0.285 0.673
CELL_PARAMETERS angstrom
7.076 0.702 -1.043
4.167 7.198 0.008
2.372 -1.395 5.532
! - V (Å³ per atom) = 28.95
! - mass density (g/cm³) = 5.804
! - SG = P1 (1)



(ii)
! Pr3MgCo (PBE, optimized geometry); values from VASP
&SYSTEM
  ibrav = 0, nat = 10, ntyp = 3
/
ATOMIC_SPECIES
Pr 140.91 Pr.upf
Mg 24.30 Mg.upf
Co 58.93 Co.upf
ATOMIC_POSITIONS crystal
Pr 0.037 0.074 0.303
Pr 0.963 0.926 0.697
Pr 0.401 0.802 0.071
Pr 0.599 0.198 0.929
Pr 0.174 0.348 0.591
Pr 0.826 0.652 0.409
Mg 0.782 0.564 0.852
Mg 0.218 0.436 0.148
Co 0.563 0.127 0.588
Co 0.437 0.873 0.412
CELL_PARAMETERS angstrom
-0.049 1.286 -3.553
3.789 -8.827 -1.239
-7.472 -3.181 -1.049
! - V (Å³ per atom) = 29.39
! - mass density (g/cm³) = 5.718
! - SG = C2/m (12)



The calculated energies rank the structures as follows, beginning with the most stable: (i), (ii).



(i)
! Pr2MgCo (PBE, optimized geometry); values from VASP
&SYSTEM
  ibrav = 0, nat = 4, ntyp = 3
/
ATOMIC_SPECIES
Pr 140.91 Pr.upf
Mg 24.30 Mg.upf
Co 58.93 Co.upf
ATOMIC_POSITIONS crystal
Pr 0.000 0.000 0.795
Pr 0.000 0.000 0.205
Mg 0.500 0.500 0.500
Co 0.500 0.500 0.000
CELL_PARAMETERS angstrom
3.541 0.000 0.000
0.000 3.541 0.000
0.000 0.000 8.338
! - V (Å³ per atom) = 26.14
! - mass density (g/cm³) = 5.799
! - SG = P4/mmm (123)



(ii)
! Pr2MgCo (PBE, optimized geometry); values from VASP
&SYSTEM
  ibrav = 0, nat = 8, ntyp = 3
/
ATOMIC_SPECIES
Pr 140.91 Pr.upf
Mg 24.30 Mg.upf
Co 58.93 Co.upf
ATOMIC_POSITIONS crystal
Pr 0.773 0.546 0.311
Pr 0.227 0.454 0.689
Pr 0.959 0.919 0.702
Pr 0.041 0.081 0.298
Mg 0.385 0.771 0.048
Mg 0.615 0.229 0.952
Co 0.407 0.813 0.417
Co 0.593 0.187 0.583
CELL_PARAMETERS angstrom
3.801 0.000 0.000
-1.901 6.998 -0.156
0.000 -0.668 8.009
! - V (Å³ per atom) = 26.58
! - mass density (g/cm³) = 5.701
! - SG = C2/m (12)



(iii)
! Pr2MgCo (PBE, optimized geometry); values from VASP
&SYSTEM
  ibrav = 0, nat = 4, ntyp = 3
/
ATOMIC_SPECIES
Pr 140.91 Pr.upf
Mg 24.30 Mg.upf
Co 58.93 Co.upf
ATOMIC_POSITIONS crystal
Pr 0.060 0.060 0.819
Pr 0.273 0.273 0.180
Mg 0.500 0.500 0.499
Co 0.666 0.666 0.001
CELL_PARAMETERS angstrom
3.958 0.000 0.000
1.979 3.428 0.000
1.979 1.143 8.620
! - V (Å³ per atom) = 29.24
! - mass density (g/cm³) = 5.183
! - SG = R3m (160)



The calculated energies rank the structures as follows, beginning with the most stable: (ii), (i), (iii).



(i)
! Pr8MgCo2 (PBE, optimized geometry); values from VASP
&SYSTEM
  ibrav = 0, nat = 11, ntyp = 3
/
ATOMIC_SPECIES
Pr 140.91 Pr.upf
Mg 24.30 Mg.upf
Co 58.93 Co.upf
ATOMIC_POSITIONS crystal
Pr 0.559 0.342 0.084
Pr 0.559 0.084 0.342
Pr 0.203 0.406 0.406
Pr 0.000 0.256 0.752
Pr 0.000 0.752 0.256
Pr 0.796 0.599 0.599
Pr 0.442 0.923 0.665
Pr 0.442 0.665 0.923
Mg 0.000 0.002 0.002
Co 0.500 0.714 0.293
Co 0.500 0.293 0.714
CELL_PARAMETERS angstrom
5.629 0.251 -0.818
-1.774 7.315 -3.396
0.259 -0.364 8.246
! - V (Å³ per atom) = 30.64
! - mass density (g/cm³) = 6.254
! - SG = Cm (8)



(ii)
! Pr8MgCo2 (PBE, optimized geometry); values from VASP
&SYSTEM
  ibrav = 0, nat = 11, ntyp = 3
/
ATOMIC_SPECIES
Pr 140.91 Pr.upf
Mg 24.30 Mg.upf
Co 58.93 Co.upf
ATOMIC_POSITIONS crystal
Pr 0.182 0.436 0.868
Pr 0.818 0.132 0.564
Pr 0.419 0.869 0.869
Pr 0.581 0.131 0.131
Pr 0.182 0.868 0.436
Pr 0.818 0.564 0.132
Pr 0.696 0.612 0.612
Pr 0.304 0.388 0.388
Mg 0.000 0.000 0.000
Co 0.995 0.786 0.786
Co 0.005 0.214 0.214
CELL_PARAMETERS angstrom
6.543 -0.147 -0.112
-0.078 7.576 0.532
-0.078 2.552 7.153
! - V (Å³ per atom) = 31.42
! - mass density (g/cm³) = 6.099
! - SG = C2/m (12)



The calculated energies rank the structures as follows, beginning with the most stable: (ii), (i).



(i)
! Rb2Mg2Co (PBE, optimized geometry); values from VASP
&SYSTEM
  ibrav = 0, nat = 5, ntyp = 3
/
ATOMIC_SPECIES
Mg 24.30 Mg.upf
Co 58.93 Co.upf
Rb 85.47 Rb.upf
ATOMIC_POSITIONS crystal
Mg 0.750 0.250 0.500
Mg 0.250 0.750 0.500
Co 0.000 0.000 0.000
Rb 0.407 0.407 0.186
Rb 0.593 0.593 0.814
CELL_PARAMETERS angstrom
-4.218 0.101 -0.359
0.272 -1.960 -3.743
-2.658 -10.996 3.171
! - V (Å³ per atom) = 40.73
! - mass density (g/cm³) = 2.270
! - SG = I4/mmm (139)



(ii)
! Rb2Mg2Co (PBE, optimized geometry); values from VASP
&SYSTEM
  ibrav = 0, nat = 10, ntyp = 3
/
ATOMIC_SPECIES
Mg 24.30 Mg.upf
Co 58.93 Co.upf
Rb 85.47 Rb.upf
ATOMIC_POSITIONS crystal
Mg 0.095 0.595 0.500
Mg 0.595 0.905 0.500
Mg 0.905 0.405 0.500
Mg 0.405 0.095 0.500
Co 0.000 0.000 0.000
Co 0.500 0.500 0.000
Rb 0.302 0.802 0.000
Rb 0.802 0.698 0.000
Rb 0.698 0.198 0.000
Rb 0.198 0.302 0.000
CELL_PARAMETERS angstrom
-9.560 -1.687 -5.402
-1.205 -9.754 5.179
-1.657 1.511 2.460
! - V (Å³ per atom) = 41.08
! - mass density (g/cm³) = 2.251
! - SG = P4/mbm (127)



The calculated energies rank the structures as follows, beginning with the most stable: (i), (ii).



(i)
! RbMgCo3 (PBE, optimized geometry); values from VASP
&SYSTEM
  ibrav = 0, nat = 5, ntyp = 3
/
ATOMIC_SPECIES
Mg 24.30 Mg.upf
Co 58.93 Co.upf
Rb 85.47 Rb.upf
ATOMIC_POSITIONS crystal
Mg 0.500 0.500 0.500
Co 0.000 0.500 0.000
Co 0.000 0.000 0.500
Co 0.500 0.000 0.000
Rb 0.000 0.000 0.000
CELL_PARAMETERS angstrom
-3.291 3.285 -0.535
-3.023 -2.635 2.414
1.393 2.043 3.974
! - V (Å³ per atom) = 20.51
! - mass density (g/cm³) = 4.641
! - SG = Pm-3m (221)



(ii)
! RbMgCo3 (PBE, optimized geometry); values from VASP
&SYSTEM
  ibrav = 0, nat = 5, ntyp = 3
/
ATOMIC_SPECIES
Mg 24.30 Mg.upf
Co 58.93 Co.upf
Rb 85.47 Rb.upf
ATOMIC_POSITIONS crystal
Mg 0.000 0.000 0.000
Co 0.000 0.500 0.000
Co 0.000 0.000 0.500
Co 0.500 0.000 0.000
Rb 0.500 0.500 0.500
CELL_PARAMETERS angstrom
-3.027 1.141 -3.653
0.806 -4.363 -2.030
-3.742 -1.862 2.518
! - V (Å³ per atom) = 23.23
! - mass density (g/cm³) = 4.096
! - SG = Pm-3m (221)



The calculated energies rank the structures as follows, beginning with the most stable: (ii), (i).



(i)
! RbMg2Co (PBE, optimized geometry); values from VASP
&SYSTEM
  ibrav = 0, nat = 8, ntyp = 3
/
ATOMIC_SPECIES
Mg 24.30 Mg.upf
Co 58.93 Co.upf
Rb 85.47 Rb.upf
ATOMIC_POSITIONS crystal
Mg 0.375 0.125 0.250
Mg 0.375 0.625 0.250
Mg 0.375 0.625 0.750
Mg 0.875 0.625 0.750
Co 0.500 0.500 0.000
Co 0.250 0.750 0.500
Rb 0.000 0.000 0.000
Rb 0.750 0.250 0.500
CELL_PARAMETERS angstrom
6.042 0.000 0.000
0.000 6.042 0.000
3.021 3.021 8.198
! - V (Å³ per atom) = 37.41
! - mass density (g/cm³) = 2.142
! - SG = I4_1/amd (141)



(ii)
! RbMg2Co (PBE, optimized geometry); values from VASP
&SYSTEM
  ibrav = 0, nat = 4, ntyp = 3
/
ATOMIC_SPECIES
Mg 24.30 Mg.upf
Co 58.93 Co.upf
Rb 85.47 Rb.upf
ATOMIC_POSITIONS crystal
Mg 0.250 0.250 0.250
Mg 0.750 0.750 0.750
Co 0.000 0.000 0.000
Rb 0.500 0.500 0.500
CELL_PARAMETERS angstrom
3.211 -3.254 2.566
-0.164 -0.259 5.233
-1.928 -4.269 2.354
! - V (Å³ per atom) = 25.47
! - mass density (g/cm³) = 3.146
! - SG = Fm-3m (225)



The calculated energies rank the structures as follows, beginning with the most stable: (i), (ii).



(i)
! MgCoRh (PBE, optimized geometry); values from VASP
&SYSTEM
  ibrav = 0, nat = 3, ntyp = 3
/
ATOMIC_SPECIES
Co 58.93 Co.upf
Mg 24.30 Mg.upf
Rh 102.91 Rh.upf
ATOMIC_POSITIONS crystal
Co 0.000 0.000 0.901
Mg 0.333 0.667 0.326
Rh 0.667 0.333 0.772
CELL_PARAMETERS angstrom
4.233 0.000 0.000
-2.117 3.666 0.000
0.000 0.000 2.817
! - V (Å³ per atom) = 14.57
! - mass density (g/cm³) = 7.071
! - SG = P3m1 (156)



(ii)
! MgCoRh (PBE, optimized geometry); values from VASP
&SYSTEM
  ibrav = 0, nat = 3, ntyp = 3
/
ATOMIC_SPECIES
Co 58.93 Co.upf
Mg 24.30 Mg.upf
Rh 102.91 Rh.upf
ATOMIC_POSITIONS crystal
Co 0.250 0.250 0.250
Mg 0.000 0.000 0.000
Rh 0.500 0.500 0.500
CELL_PARAMETERS angstrom
-2.459 3.221 -0.524
-3.971 -0.290 0.921
-1.494 1.980 3.248
! - V (Å³ per atom) = 16.08
! - mass density (g/cm³) = 6.407
! - SG = F-43m (216)



The calculated energies rank the structures as follows, beginning with the most stable: (i), (ii).